No. 1
! MgCd2HgPt | Alexandria | GGA-PBE | relaxed; values from VASP
&SYSTEM
  ibrav = 0, nat = 5, ntyp = 4
/
ATOMIC_SPECIES
Cd 112.41 Cd.upf
Pt 195.08 Pt.upf
Hg 200.59 Hg.upf
Mg 24.30 Mg.upf
CELL_PARAMETERS angstrom
5.2697 0.0000 0.0000
0.0000 5.2697 0.0000
0.0000 0.0000 5.0059
ATOMIC_POSITIONS crystal
Cd 0.5000 0.0000 0.0000
Cd 0.0000 0.5000 0.0000
Pt 0.0000 0.0000 0.0000
Hg 0.5000 0.5000 0.5000
Mg 0.0000 0.0000 0.5000
! V = 27.80 Å³/atom
! Energy = -0.0765 Ha/atom

No. 2
! PuMg2CdHg4 | Alexandria | GGA-PBE | relaxed; values from VASP
&SYSTEM
  ibrav = 0, nat = 8, ntyp = 4
/
ATOMIC_SPECIES
Hg 200.59 Hg.upf
Mg 24.30 Mg.upf
Pu 244.00 Pu.upf
Cd 112.41 Cd.upf
CELL_PARAMETERS angstrom
-3.7724 -0.2170 3.1934
0.8368 -1.1257 4.7443
0.1041 8.2338 4.5148
ATOMIC_POSITIONS crystal
Hg 0.6183 0.6183 0.1451
Hg 0.8772 0.8772 0.3683
Hg 0.1228 0.1228 0.6317
Hg 0.3817 0.3817 0.8549
Mg 0.2471 0.2471 0.2587
Mg 0.7529 0.7529 0.7413
Pu 0.0000 0.0000 0.0000
Cd 0.5000 0.5000 0.5000
! V = 23.70 Å³/atom
! Energy = -0.0953 Ha/atom

No. 3
! PuMgCd2Hg4 | Alexandria | GGA-PBE | relaxed; values from VASP
&SYSTEM
  ibrav = 0, nat = 8, ntyp = 4
/
ATOMIC_SPECIES
Hg 200.59 Hg.upf
Pu 244.00 Pu.upf
Cd 112.41 Cd.upf
Mg 24.30 Mg.upf
CELL_PARAMETERS angstrom
-4.7041 0.0647 1.7038
-1.4659 -3.3385 3.4265
0.3281 4.4052 8.0856
ATOMIC_POSITIONS crystal
Hg 0.6173 0.6173 0.1480
Hg 0.3827 0.3827 0.8520
Hg 0.1293 0.1293 0.6120
Hg 0.8707 0.8707 0.3880
Pu 0.0000 0.0000 0.0000
Cd 0.2509 0.2509 0.2472
Cd 0.7491 0.7491 0.7528
Mg 0.5000 0.5000 0.5000
! V = 23.71 Å³/atom
! Energy = -0.0909 Ha/atom

No. 4
! RbMgCdHg | Alexandria | GGA-PBE | relaxed; values from VASP
&SYSTEM
  ibrav = 0, nat = 4, ntyp = 4
/
ATOMIC_SPECIES
Mg 24.30 Mg.upf
Hg 200.59 Hg.upf
Cd 112.41 Cd.upf
Rb 85.47 Rb.upf
CELL_PARAMETERS angstrom
-2.9759 4.3376 -2.1211
-0.5651 0.5752 -5.6142
-5.0255 -0.9403 -2.4555
ATOMIC_POSITIONS crystal
Mg 0.5000 0.5000 0.5000
Hg 0.2500 0.2500 0.2500
Cd 0.7500 0.7500 0.7500
Rb 0.0000 0.0000 0.0000
! V = 32.25 Å³/atom
! Energy = -0.0334 Ha/atom

No. 5
! RbMg2CdHg4 | Alexandria | GGA-PBE | relaxed; values from VASP
&SYSTEM
  ibrav = 0, nat = 8, ntyp = 4
/
ATOMIC_SPECIES
Mg 24.30 Mg.upf
Hg 200.59 Hg.upf
Rb 85.47 Rb.upf
Cd 112.41 Cd.upf
CELL_PARAMETERS angstrom
-3.9548 -0.2731 -2.7504
-4.1243 -1.6718 1.8641
-5.5582 9.8513 2.7818
ATOMIC_POSITIONS crystal
Mg 0.2271 0.2271 0.3188
Mg 0.7729 0.7729 0.6812
Hg 0.4035 0.4035 0.7896
Hg 0.5965 0.5965 0.2104
Hg 0.8718 0.8718 0.3845
Hg 0.1282 0.1282 0.6155
Rb 0.0000 0.0000 0.0000
Cd 0.5000 0.5000 0.5000
! V = 28.50 Å³/atom
! Energy = -0.0337 Ha/atom

No. 6
! RbMgCd2Hg | Alexandria | GGA-PBE | relaxed; values from VASP
&SYSTEM
  ibrav = 0, nat = 5, ntyp = 4
/
ATOMIC_SPECIES
Mg 24.30 Mg.upf
Cd 112.41 Cd.upf
Rb 85.47 Rb.upf
Hg 200.59 Hg.upf
CELL_PARAMETERS angstrom
5.6155 0.0000 0.0000
0.0000 5.6155 0.0000
0.0000 0.0000 5.6640
ATOMIC_POSITIONS crystal
Mg 0.0000 0.0000 0.0000
Cd 0.0000 0.5000 0.0000
Cd 0.5000 0.0000 0.0000
Rb 0.5000 0.5000 0.5000
Hg 0.0000 0.0000 0.5000
! V = 35.72 Å³/atom
! Energy = -0.0335 Ha/atom

No. 7
! Rb2MgCd4Hg3 | Alexandria | GGA-PBE | relaxed; values from VASP
&SYSTEM
  ibrav = 0, nat = 10, ntyp = 4
/
ATOMIC_SPECIES
Cd 112.41 Cd.upf
Rb 85.47 Rb.upf
Hg 200.59 Hg.upf
Mg 24.30 Mg.upf
CELL_PARAMETERS angstrom
-3.3937 -3.2744 1.2022
3.4805 -3.2894 0.8661
0.6175 3.9336 12.4574
ATOMIC_POSITIONS crystal
Cd 0.0000 0.5000 0.3648
Cd 0.5000 0.5000 0.0000
Cd 0.5000 0.0000 0.6352
Cd 0.0000 0.0000 0.0000
Rb 0.0000 0.5000 0.7535
Rb 0.5000 0.0000 0.2465
Hg 0.0000 0.5000 0.1389
Hg 0.0000 0.0000 0.5000
Hg 0.5000 0.0000 0.8611
Mg 0.5000 0.5000 0.5000
! V = 30.98 Å³/atom
! Energy = -0.0336 Ha/atom

No. 8
! Mg5Cd2HgRh2 | Alexandria | GGA-PBE | relaxed; values from VASP
&SYSTEM
  ibrav = 0, nat = 20, ntyp = 4
/
ATOMIC_SPECIES
Mg 24.30 Mg.upf
Hg 200.59 Hg.upf
Rh 102.91 Rh.upf
Cd 112.41 Cd.upf
CELL_PARAMETERS angstrom
-2.3427 1.0811 -3.0024
-7.8178 -4.2784 4.5595
-1.9997 8.6274 4.6669
ATOMIC_POSITIONS crystal
Mg 0.5000 0.7084 0.4197
Mg 0.5000 0.5803 0.7084
Mg 0.5000 0.0803 0.7916
Mg 0.5000 0.2084 0.0803
Mg 0.5000 0.9197 0.2084
Mg 0.5000 0.2916 0.5803
Mg 0.5000 0.0000 0.5000
Mg 0.5000 0.7916 0.9197
Mg 0.5000 0.5000 0.0000
Mg 0.5000 0.4197 0.2916
Hg 0.0000 0.5000 0.5000
Hg 0.0000 0.0000 0.0000
Rh 0.0000 0.3794 0.1206
Rh 0.0000 0.8794 0.3794
Rh 0.0000 0.6206 0.8794
Rh 0.0000 0.1206 0.6206
Cd 0.0000 0.1710 0.3290
Cd 0.0000 0.3290 0.8290
Cd 0.0000 0.6710 0.1710
Cd 0.0000 0.8290 0.6710
! V = 19.84 Å³/atom
! Energy = -0.1011 Ha/atom